1.
This record from the Open Quantum Materials Database describes an optimized crystal structure of TbDyTe2As2. The functional is PBE-GGA.

Raw total energy in eV/cell: -31.73
Space group: P4mm

Cell lengths 4.0804, 4.0804, 9.0845 Å; angles 90.00, 90.00, 90.00 degrees
Element x y z (fractional)
As1 0.5000 0.0000 0.0007
As2 0.0000 0.5000 0.0007
Dy1 0.5000 0.5000 0.2533
Tb1 0.0000 0.0000 0.7468
Te1 0.0000 0.0000 0.3741
Te2 0.5000 0.5000 0.6245

=====

2.
This record from the Open Quantum Materials Database describes an optimized crystal structure of Dy3Te2As. The functional is PBE-GGA.

Raw total energy in eV/cell: -33.23
Space group: P-3m1

Cell lengths 4.2423, 4.2423, 10.6471 Å; angles 90.00, 90.00, 120.00 degrees
Element x y z (fractional)
As1 0.0000 0.0000 0.5000
Dy1 0.0000 0.0000 0.0000
Dy2 0.3333 0.6667 0.3594
Dy3 0.6667 0.3333 0.6406
Te1 0.6667 0.3333 0.1745
Te2 0.3333 0.6667 0.8255

=====

3.
This record from the Open Quantum Materials Database describes an optimized crystal structure of Dy3TeAs2. The functional is PBE-GGA.

Raw total energy in eV/cell: -35.40
Space group: P-3m1

Cell lengths 4.1720, 4.1720, 10.3845 Å; angles 90.00, 90.00, 120.00 degrees
Element x y z (fractional)
As1 0.3333 0.6667 0.1597
As2 0.6667 0.3333 0.8403
Dy1 0.0000 0.0000 0.0000
Dy2 0.6667 0.3333 0.3048
Dy3 0.3333 0.6667 0.6952
Te1 0.0000 0.0000 0.5000

=====

4.
This record from the Open Quantum Materials Database describes an optimized crystal structure of DyTlTe3As. The functional is PBE-GGA.

Raw total energy in eV/cell: -48.12
Space group: Cmcm

Cell lengths 8.1911, 8.1911, 11.2669 Å; angles 90.00, 90.00, 149.02 degrees
Element x y z (fractional)
As1 0.9530 0.0470 0.2500
As2 0.0470 0.9530 0.7500
Dy1 0.5000 0.5000 0.0000
Dy2 0.5000 0.5000 0.5000
Te1 0.8621 0.1379 0.0420
Te2 0.5936 0.4064 0.2500
Te3 0.8621 0.1379 0.4580
Te4 0.1379 0.8621 0.5420
Te5 0.4064 0.5936 0.7500
Te6 0.1379 0.8621 0.9580
Tl1 0.2595 0.7405 0.2500
Tl2 0.7405 0.2595 0.7500

=====

5.
This record from the Open Quantum Materials Database describes an optimized crystal structure of DyThAs. The functional is PBE-GGA.

Raw total energy in eV/cell: -15.60
Space group: F-43m

Cell lengths 4.9473, 4.9473, 4.9473 Å; angles 60.00, 60.00, 60.00 degrees
Last column: magnetic moment on the atom in μB.
Element x y z (fractional)
As1 0.2500 0.2500 0.2500  -0.02
Dy1 0.0000 0.0000 0.0000  0.80
Th1 0.7500 0.7500 0.7500  0.73

=====

6.
This record from the Open Quantum Materials Database describes an optimized crystal structure of DyTlAs. The functional is PBE-GGA.

Raw total energy in eV/cell: -11.74
Space group: F-43m

Cell lengths 4.9700, 4.9700, 4.9700 Å; angles 60.00, 60.00, 60.00 degrees
Element x y z (fractional)
As1 0.2500 0.2500 0.2500
Dy1 0.7500 0.7500 0.7500
Tl1 0.0000 0.0000 0.0000

=====

Total magnetization readings, ordered: 0.00, 0.00, 0.01, 0.01, 1.95, 0.00 μB per formula unit